A relaxed ScBe3C crystal. Source: Alexandria, functional PBE-GGA.

Values from the calculation:
excess energy over the best structure of this formula in the dataset	2673	meV/atom
calculated formation energy	3.101	eV/atom
space group	Pm-3m (221)

Cell: 4.7248 4.7248 4.7248 Å, 90.00 90.00 90.00°
Last column: nearest neighbours and their distance in Å.
Positions (direct):
Sc1 0.0000 0.0000 0.0000  6 Be 2.36
Be1 0.0000 0.5000 0.0000  2 Sc 2.36
Be2 0.0000 0.0000 0.5000  2 Sc 2.36
Be3 0.5000 0.0000 0.0000  2 Sc 2.36
C1 0.5000 0.5000 0.5000  12 Be 3.34